Record 1
Computed, not measured: an optimized crystal structure of La4Te5I at the PBE level of DFT.

Results
As for the uncorrected energy: -0.372 Ry/atom. The value obtained for the uncorrected formation energy is -1.360 eV per atom. As for the space group: Pmmn. The calculation puts the density of states at the Fermi level at 0.1 states/eV/f.u.

Geometry as POSCAR:
```
La4Te5I
1.0
7.893 0.000 0.000
0.000 9.770 0.000
0.000 0.000 10.862
La Te I
8 10 2
direct
0.031 0.000 0.729
0.549 0.784 0.000
0.549 0.216 0.000
0.031 0.000 0.271
0.969 0.500 0.229
0.451 0.716 0.500
0.451 0.284 0.500
0.969 0.500 0.771
0.258 0.734 0.796
0.258 0.266 0.796
0.732 0.500 0.000
0.258 0.734 0.204
0.258 0.266 0.204
0.742 0.766 0.296
0.742 0.234 0.296
0.268 0.000 0.500
0.742 0.234 0.704
0.742 0.766 0.704
0.868 0.000 0.000
0.132 0.500 0.500
```

Record 2
Computed, not measured: an optimized crystal structure of In2FeTcIr at the PBE level of DFT.

Results
As for the uncorrected energy: -0.403 Ry/atom. As for the space group: P4/mmm. For the formation enthalpy at 0 K, the calculation gives 1153 meV per atom. The calculation puts the density of states at the Fermi level at 5.5 states/eV/f.u.

Geometry as POSCAR:
```
In2FeTcIr
1.0
-1.190 -1.490 -4.670
4.126 -2.373 -0.294
-2.232 -4.114 1.881
Fe Ir Tc In
1 1 1 2
direct
0.000 0.500 0.000
0.000 0.000 0.000
0.500 0.500 0.500
0.000 0.000 0.500
0.500 0.000 0.000
```